Record 1
Entry from the Alexandria database: a relaxed Sr2CaSn3Au4 crystal (PBE).

a = 4.7579 Å, b = 4.7579 Å, c = 11.7991 Å
α = 90.00°, β = 90.00°, γ = 90.00°
With the nearest neighbours (Å) after each atom.
Space group P-4m2 (No. 115)
Asymmetric unit:
Sr 0.0000 0.5000 0.2233 x2  8 Au 3.55-3.71, 4 Sn 3.55
Ca 0.0000 0.0000 0.5000 x1  4 Au 2.93
Sn 0.0000 0.5000 0.8739 x2  5 Au 2.70-2.81
Sn 0.5000 0.5000 0.5000 x1  4 Au 2.93
Au 0.0000 0.0000 0.0000 x1  4 Sn 2.81
Au 0.0000 0.5000 0.6451 x2  3 Sn 2.70-2.93, 2 Ca 2.93
Au 0.5000 0.5000 0.0000 x1  4 Sn 2.81

Calculated values
Formation energy = -6.3 eV per formula unit
Volume = 267.1 Å³/f.u.

=====

Record 2
Entry from the Alexandria database: a relaxed CaSnTe2Au crystal (PBE).

a = 5.6773 Å, b = 5.6773 Å, c = 6.0338 Å
α = 90.00°, β = 90.00°, γ = 90.00°
With the nearest neighbours (Å) after each atom.
Space group P4/mmm (No. 123)
Asymmetric unit:
Ca 0.0000 0.0000 0.0000 x1  4 Te 2.84, 2 Sn 3.02
Sn 0.0000 0.0000 0.5000 x1  2 Ca 3.02
Te 0.0000 0.5000 0.0000 x2  2 Ca 2.84
Au 0.5000 0.5000 0.5000 x1  4 Sn 4.01, 8 Te 4.14

Calculated values
Volume = 194.5 Å³/f.u.
E_form (uncorrected) = 484 meV/atom

=====

Record 3
Entry from the Alexandria database: a relaxed CaThSnAu crystal (PBE).

a = 7.5621 Å, b = 7.5621 Å, c = 7.5621 Å
α = 90.00°, β = 90.00°, γ = 90.00°
With the nearest neighbours (Å) after each atom.
Space group F-43m (No. 216)
Asymmetric unit:
Ca 0.0000 0.0000 0.0000 x4  4 Sn 3.27, 4 Au 3.27
Th 0.0000 0.0000 0.5000 x4  4 Sn 3.27, 4 Au 3.27
Sn 0.2500 0.2500 0.7500 x4  4 Th 3.27, 4 Ca 3.27
Au 0.2500 0.2500 0.2500 x4  4 Th 3.27, 4 Ca 3.27

Calculated values
Formation energy = -2.3 eV per formula unit
Volume = 108.1 Å³/f.u.

=====

Record 4
Entry from the Alexandria database: a relaxed Ca2TlSnAu crystal (PBE).

a = 5.8658 Å, b = 5.8658 Å, c = 5.1571 Å
α = 90.00°, β = 90.00°, γ = 90.00°
With the nearest neighbours (Å) after each atom.
Space group P4/mmm (No. 123)
Asymmetric unit:
Ca 0.0000 0.5000 0.0000 x2  2 Tl 2.93
Tl 0.0000 0.0000 0.0000 x1  2 Au 2.58
Sn 0.5000 0.5000 0.5000 x1  8 Ca 3.91, 4 Au 4.15
Au 0.0000 0.0000 0.5000 x1  2 Tl 2.58

Calculated values
Formation energy = 0.7 eV per formula unit
Volume = 177.4 Å³/f.u.

=====

Record 5
Entry from the Alexandria database: a relaxed CaTmSnAu crystal (PBE).

a = 7.3753 Å, b = 7.3753 Å, c = 7.3753 Å
α = 90.00°, β = 90.00°, γ = 90.00°
With the nearest neighbours (Å) after each atom.
Space group F-43m (No. 216)
Asymmetric unit:
Ca 0.0000 0.0000 0.0000 x4  4 Sn 3.19, 4 Au 3.19
Tm 0.0000 0.0000 0.5000 x4  4 Sn 3.19, 4 Au 3.19
Sn 0.2500 0.2500 0.7500 x4  4 Ca 3.19, 4 Tm 3.19
Au 0.2500 0.2500 0.2500 x4  4 Ca 3.19, 4 Tm 3.19

Calculated values
Formation energy = -2.9 eV per formula unit
Volume = 100.3 Å³/f.u.

=====

Record 6
Entry from the Alexandria database: a relaxed CaVSnAu2 crystal (PBE).

a = 5.0261 Å, b = 5.0261 Å, c = 5.0295 Å
α = 90.00°, β = 90.00°, γ = 90.00°
With the nearest neighbours (Å) after each atom.
Space group P4/mmm (No. 123)
Asymmetric unit:
Ca 0.0000 0.0000 0.0000 x1  4 Sn 3.55, 8 Au 3.56
V 0.5000 0.5000 0.5000 x1  4 Au 2.51, 2 Sn 2.51
Sn 0.5000 0.5000 0.0000 x1  2 V 2.51
Au 0.0000 0.5000 0.5000 x2  2 V 2.51

Calculated values
Formation energy = 0.3 eV per formula unit
Volume = 127.1 Å³/f.u.

=====

Record 7
Entry from the Alexandria database: a relaxed Ca2Zn3SnAu12 crystal (PBE).

a = 6.9145 Å, b = 6.9145 Å, c = 28.8599 Å
α = 90.00°, β = 90.00°, γ = 120.00°
With the nearest neighbours (Å) after each atom.
Space group R-3m (No. 166, hexagonal axes)
Asymmetric unit:
Ca 0.0000 0.0000 0.1384 x6  6 Au 3.07-3.15
Zn 0.0000 0.5000 0.0000 x9  4 Au 2.56
Sn 0.0000 0.0000 0.5000 x3  6 Au 2.77
Au 0.0343 0.5172 0.8915 x18  1 Sn 2.77, 4 Au 2.82-3.10, 1 Ca 3.07
Au 0.0624 0.5312 0.6217 x18  2 Zn 2.56, 4 Au 2.81-2.82

Calculated values
Formation energy = -3.8 eV per formula unit
Volume = 398.3 Å³/f.u.

=====

Record 8
Entry from the Alexandria database: a relaxed CaZn2SnAu4 crystal (PBE).

a = 4.4537 Å, b = 4.4537 Å, c = 29.1961 Å
α = 90.00°, β = 90.00°, γ = 120.00°
With the nearest neighbours (Å) after each atom.
Space group R-3m (No. 166, hexagonal axes)
Asymmetric unit:
Ca 0.0000 0.0000 0.0000 x3  8 Au 3.12-3.38, 6 Zn 3.44
Zn 0.0000 0.0000 0.2552 x6  6 Au 2.62-2.79
Sn 0.0000 0.0000 0.5000 x3  8 Au 2.97-3.10
Au 0.0000 0.0000 0.1157 x6  3 Zn 2.79, 3 Sn 2.97, 3 Au 3.04
Au 0.0000 0.0000 0.3937 x6  3 Zn 2.62

Calculated values
Formation energy = -2.7 eV per formula unit
Volume = 167.2 Å³/f.u.

=====

Record 9
Entry from the Alexandria database: a relaxed Ca2ZnSn4Au3 crystal (PBE).

a = 4.5431 Å, b = 4.5431 Å, c = 11.9064 Å
α = 90.00°, β = 90.00°, γ = 90.00°
With the nearest neighbours (Å) after each atom.
Space group P-4m2 (No. 115)
Asymmetric unit:
Ca 0.0000 0.5000 0.2351 x2  4 Sn 3.44, 6 Au 3.51-3.61, 2 Zn 3.61
Zn 0.5000 0.5000 0.0000 x1  4 Sn 2.76
Sn 0.0000 0.0000 0.5000 x1  4 Au 2.85
Sn 0.0000 0.5000 0.8677 x2  3 Au 2.65-2.76, 2 Zn 2.76
Sn 0.5000 0.5000 0.5000 x1  4 Au 2.85
Au 0.0000 0.0000 0.0000 x1  4 Sn 2.76
Au 0.0000 0.5000 0.6451 x2  5 Sn 2.65-2.85

Calculated values
Formation energy = -4.4 eV per formula unit
Volume = 245.7 Å³/f.u.

=====

Record 10
Entry from the Alexandria database: a relaxed Ca2ZnSnAu6 crystal (PBE).

a = 10.1084 Å, b = 10.1084 Å, c = 10.1084 Å
α = 90.00°, β = 90.00°, γ = 90.00°
With the nearest neighbours (Å) after each atom.
Space group Fm-3m (No. 225)
Asymmetric unit:
Ca 0.2500 0.2500 0.2500 x8  12 Au 3.58
Zn 0.0000 0.0000 0.0000 x4  6 Au 2.44
Sn 0.0000 0.0000 0.5000 x4  6 Au 2.62
Au 0.0000 0.0000 0.2409 x24  1 Zn 2.44, 1 Sn 2.62

Calculated values
Formation energy = -2.0 eV per formula unit
Volume = 258.2 Å³/f.u.

=====

Record 11
Entry from the Alexandria database: a relaxed Ca2Zn4SnAu3 crystal (PBE).

a = 4.2733 Å, b = 4.2733 Å, c = 11.5929 Å
α = 90.00°, β = 90.00°, γ = 90.00°
With the nearest neighbours (Å) after each atom.
Space group P-4m2 (No. 115)
Asymmetric unit:
Ca 0.0000 0.5000 0.2441 x2  6 Au 3.27-3.66, 8 Zn 3.28-3.55, 2 Sn 3.66
Zn 0.0000 0.0000 0.0000 x1  4 Au 2.65
Zn 0.0000 0.5000 0.6463 x2  3 Au 2.53-2.73, 2 Sn 2.73
Zn 0.5000 0.5000 0.0000 x1  4 Au 2.65
Sn 0.0000 0.0000 0.5000 x1  4 Zn 2.73, 4 Au 3.02
Au 0.0000 0.5000 0.8644 x2  5 Zn 2.53-2.65
Au 0.5000 0.5000 0.5000 x1  4 Zn 2.73, 4 Sn 3.02

Calculated values
Formation energy = -4.6 eV per formula unit
Volume = 211.7 Å³/f.u.

=====

Record 12
Entry from the Alexandria database: a relaxed Ca2ZnSn3Au4 crystal (PBE).

a = 4.5382 Å, b = 4.5382 Å, c = 11.5070 Å
α = 90.00°, β = 90.00°, γ = 90.00°
With the nearest neighbours (Å) after each atom.
Space group P-4m2 (No. 115)
Asymmetric unit:
Ca 0.0000 0.5000 0.2482 x2  6 Sn 3.45-3.68, 8 Au 3.50-3.65, 2 Zn 3.68
Zn 0.0000 0.0000 0.5000 x1  4 Au 2.72
Sn 0.0000 0.5000 0.8621 x2  5 Au 2.66-2.77
Sn 0.5000 0.5000 0.5000 x1  4 Au 2.72
Au 0.0000 0.0000 0.0000 x1  4 Sn 2.77
Au 0.0000 0.5000 0.6306 x2  3 Sn 2.66-2.72, 2 Zn 2.72
Au 0.5000 0.5000 0.0000 x1  4 Sn 2.77

Calculated values
Formation energy = -4.7 eV per formula unit
Volume = 237.0 Å³/f.u.